# 1
Density functional theory data (PBE-GGA) for a geometry-optimized Tb2PmDyTl4 structure.

The final energy is -3.865 eV/atom. For the energy of formation, the calculation gives -0.355 eV/atom. Its volume is 671.4 Å³/cell. The value obtained for the total magnetization is 0.00 μB per formula unit.

Cell and atoms, written as CIF:
```
data_Tb2PmDyTl4
_cell_length_a 5.4055
_cell_length_b 5.4055
_cell_length_c 26.5336
_cell_angle_alpha 90.00
_cell_angle_beta 90.00
_cell_angle_gamma 120.00
_symmetry_space_group_name_H-M 'R -3 m'
_symmetry_Int_Tables_number 166
_symmetry_space_group_name_Hall '-R 3 2"'
loop_
_atom_site_label
_atom_site_type_symbol
_atom_site_fract_x
_atom_site_fract_y
_atom_site_fract_z
Tb1 Tb 0.0000 0.0000 0.2505
Pm1 Pm 0.0000 0.0000 0.5000
Dy1 Dy 0.0000 0.0000 0.0000
Tl1 Tl 0.0000 0.0000 0.1239
Tl2 Tl 0.0000 0.0000 0.3740
```

# 2
Density functional theory data (PBE-GGA) for a geometry-optimized La4BiPbC structure.

The final energy is -5.782 eV/atom. For the energy of formation, the calculation gives -0.565 eV/atom. Its volume is 899.7 Å³/cell. The value obtained for the total magnetization is 0.00 μB per formula unit.

Cell and atoms, written as CIF:
```
data_La4BiPbC
_cell_length_a 7.258
_cell_length_b 17.112
_cell_length_c 7.245
_cell_angle_alpha 90.00
_cell_angle_beta 90.00
_cell_angle_gamma 90.00
_symmetry_space_group_name_H-M 'C m c m'
_symmetry_Int_Tables_number 63
_symmetry_space_group_name_Hall '-C 2c 2'
loop_
_atom_site_label
_atom_site_type_symbol
_atom_site_fract_x
_atom_site_fract_y
_atom_site_fract_z
La1 La 0.000 0.086 0.250
La2 La 0.000 0.409 0.250
La3 La 0.250 0.250 0.000
Bi1 Bi 0.000 0.390 0.750
Pb1 Pb 0.000 0.109 0.750
C1 C 0.000 0.265 0.250
```